DFT (PBE+U) results for an optimized crystal structure of Ni2AsNO.

```
data_Ni2AsNO
_cell_length_a 4.580
_cell_length_b 4.580
_cell_length_c 3.618
_cell_angle_alpha 90.00
_cell_angle_beta 90.00
_cell_angle_gamma 90.00
_space_group_name_H-M_alt 'P 4/m m m'
_space_group_IT_number 123
_space_group_name_Hall '-P 4 2'
loop_
_atom_site_label
_atom_site_type_symbol
_atom_site_fract_x
_atom_site_fract_y
_atom_site_fract_z
_atom_site_occupancy
Ni1 Ni 0.000 0.500 0.000 1
As1 As 0.000 0.000 0.000 1
N1 N 0.000 0.000 0.500 1
O1 O 0.500 0.500 0.500 1
```

DFT total energy ... -16.59 eV/cell
Magnetization ... 0.394 μB/atom